Compound: Er4Cd2O
Source: Alexandria via LeMat-Bulk
Functional: PBE-GGA
Structure: optimized geometry

The space group is I4/mmm (No. 139) and the conventional cell measures 4.698, 4.698 and 15.192 Å, with angles of 90.00, 90.00 and 90.00 degrees. Symmetry generates all atoms from Er at (0.000, 0.000, 0.173), Er at (0.000, 0.500, 0.000), Cd at (0.000, 0.000, 0.368) and O at (0.000, 0.000, 0.000).

The value obtained for the total energy is -63.081 eV for the cell shown. The volume is 23.95 Å³ per atom. The density of states at the Fermi level is 4.366 states/eV per cell. As for the raw formation energy: -0.929 eV per atom.